# TcSnRuRh2

A geometry-optimized TcSnRuRh2 structure (PBEsol, the Alexandria database).

Structure (CIF):
```
data_TcSnRuRh2
_chemical_formula_sum 'Tc1 Sn1 Ru1 Rh2'
_cell_length_a 4.673
_cell_length_b 4.673
_cell_length_c 4.731
_cell_angle_alpha 90.00
_cell_angle_beta 90.00
_cell_angle_gamma 90.00
_space_group_name_H-M_alt 'P 4/m m m'
_space_group_IT_number 123
_space_group_name_Hall '-P 4 2'
loop_
_atom_site_label
_atom_site_fract_x
_atom_site_fract_y
_atom_site_fract_z
Tc1 0.000 0.000 0.000
Sn1 0.500 0.500 0.500
Ru1 0.500 0.500 0.000
Rh1 0.000 0.500 0.500
```

The density of states at the Fermi level comes out at 6.311 states/eV/cell. For the magnetic moment, the calculation gives 4.7 μB per cell. Its energy is -6.41 eV per atom. Its formation energy is 1.987 eV per atom.